No. 1
The following is a PBE calculation of Sr2FeC after structural relaxation, from Alexandria.

Lattice parameters (Å, degrees): 10.666 10.666 7.767 46.64 46.64 90.00
Each line ends with the local moment (μB).
Fractional coordinates of all 8 atoms:
Sr: 0.428 0.125 0.250  -0.05
Sr: 0.322 0.625 0.250  -0.05
Sr: 0.375 0.572 0.750  -0.05
Sr: 0.875 0.678 0.750  -0.05
C: 0.500 0.500 0.000  -0.08
C: 0.250 0.750 0.500  -0.08
Fe: 0.000 0.000 0.000  1.16
Fe: 0.750 0.250 0.500  1.16

Symmetry: I-42d
Formation energy, eV/atom: 0.259
Total magnetic moment, μB per formula unit: 0.58

No. 2
The following is a PBE calculation of SrFeC2 after structural relaxation, from Alexandria.

Lattice parameters (Å, degrees): 4.111 4.111 4.111 60.00 60.00 60.00
Fractional coordinates of all 4 atoms:
Sr: 0.500 0.500 0.500
C: 0.250 0.250 0.250
C: 0.750 0.750 0.750
Fe: 0.000 0.000 0.000

Symmetry: Fm-3m
Formation energy, eV/atom: 1.848
Total magnetic moment, μB per formula unit: 0.00

No. 3
The following is a PBE calculation of SrFe2C3 after structural relaxation, from Alexandria.

Lattice parameters (Å, degrees): 4.875 5.956 5.956 112.75 90.00 90.00
Each line ends with the local moment (μB).
Fractional coordinates of all 12 atoms:
Sr: 0.750 0.279 0.721  0.00
Sr: 0.250 0.721 0.279  0.00
Fe: 0.000 0.810 0.810  0.53
Fe: 0.500 0.810 0.810  0.53
Fe: 0.000 0.190 0.190  0.53
Fe: 0.500 0.190 0.190  0.53
C: 0.250 0.070 0.930  -0.03
C: 0.250 0.548 0.660  -0.01
C: 0.750 0.660 0.548  -0.01
C: 0.250 0.340 0.452  -0.01
C: 0.750 0.452 0.340  -0.01
C: 0.750 0.930 0.070  -0.03

Symmetry: Cmcm
Formation energy, eV/atom: 0.067
Total magnetic moment, μB per formula unit: 1.01

No. 4
The following is a PBE calculation of SrFeC3 after structural relaxation, from Alexandria.

Lattice parameters (Å, degrees): 3.923 3.923 3.923 90.00 90.00 90.00
Each line ends with the local moment (μB).
Fractional coordinates of all 5 atoms:
Sr: 0.500 0.500 0.500  0.06
C: 0.000 0.500 0.000  0.19
C: 0.000 0.000 0.500  0.34
C: 0.500 0.000 0.000  0.06
Fe: 0.000 0.000 0.000  1.34

Symmetry: Pm-3m
Formation energy, eV/atom: 1.355
Total magnetic moment, μB per formula unit: 2.59
Polymorph energy (0 for the lowest one), meV per atom: 0.0

No. 5
The following is a PBE calculation of SrFe3C after structural relaxation, from Alexandria.

Lattice parameters (Å, degrees): 4.041 4.041 4.041 90.00 90.00 90.00
Each line ends with the local moment (μB).
Fractional coordinates of all 5 atoms:
Sr: 0.500 0.500 0.500  -0.10
C: 0.000 0.000 0.000  -0.12
Fe: 0.000 0.500 0.000  1.61
Fe: 0.000 0.000 0.500  1.72
Fe: 0.500 0.000 0.000  1.19

Symmetry: Pm-3m
Formation energy, eV/atom: 0.536
Total magnetic moment, μB per formula unit: 4.13
Polymorph energy (0 for the lowest one), meV per atom: 0.0

No. 6
The following is a PBE calculation of SrFe2C after structural relaxation, from Alexandria.

Lattice parameters (Å, degrees): 5.931 5.931 5.929 59.99 59.99 90.00
Each line ends with the local moment (μB).
Fractional coordinates of all 8 atoms:
Sr: 0.000 0.000 0.000  -0.06
Sr: 0.750 0.250 0.500  -0.06
C: 0.500 0.500 0.000  -0.10
C: 0.250 0.750 0.500  -0.10
Fe: 0.375 0.125 0.250  2.08
Fe: 0.375 0.625 0.250  2.05
Fe: 0.375 0.625 0.750  2.04
Fe: 0.875 0.625 0.750  2.01

Symmetry: Fd-3m
Formation energy, eV/atom: 0.380
Total magnetic moment, μB per formula unit: 3.78

No. 7
The following is a PBE calculation of SrFe2TcC after structural relaxation, from Alexandria.

Lattice parameters (Å, degrees): 4.773 4.071 4.773 90.00 90.00 90.00
Each line ends with the local moment (μB).
Fractional coordinates of all 5 atoms:
Sr: 0.500 0.500 0.500  -0.05
C: 0.000 0.500 0.000  0.10
Tc: 0.000 0.000 0.000  -0.15
Fe: 0.000 0.000 0.500  2.84
Fe: 0.500 0.000 0.000  2.59

Symmetry: P4/mmm
Formation energy, eV/atom: 1.009
Total magnetic moment, μB per formula unit: 5.46

No. 8
The following is a PBE calculation of Sr2FeTeC after structural relaxation, from Alexandria.

Lattice parameters (Å, degrees): 5.632 5.632 3.836 90.00 90.00 90.00
Each line ends with the local moment (μB).
Fractional coordinates of all 5 atoms:
Sr: 0.000 0.500 0.000  -0.01
Sr: 0.500 0.000 0.000  -0.01
C: 0.000 0.000 0.000  -0.12
Te: 0.500 0.500 0.500  0.05
Fe: 0.000 0.000 0.500  2.12

Raw formation energy, eV/atom: -0.34
Symmetry: P4/mmm
Total magnetic moment, μB per formula unit: 2.06

No. 9
The following is a PBE calculation of Sr2ZnFeC after structural relaxation, from Alexandria.

Lattice parameters (Å, degrees): 5.523 5.523 3.720 90.00 90.00 90.00
Each line ends with the local moment (μB).
Fractional coordinates of all 5 atoms:
C: 0.000 0.000 0.000  -0.10
Sr: 0.000 0.500 0.000  -0.04
Sr: 0.500 0.000 0.000  -0.04
Zn: 0.500 0.500 0.500  -0.04
Fe: 0.000 0.000 0.500  1.47

Symmetry: P4/mmm
Formation energy, eV/atom: 0.149
Total magnetic moment, μB per formula unit: 0.96

No. 10
The following is a PBE calculation of TaFeC2 after structural relaxation, from Alexandria.

Lattice parameters (Å, degrees): 3.768 3.768 3.768 60.00 60.00 60.00
Each line ends with the local moment (μB).
Fractional coordinates of all 4 atoms:
C: 0.250 0.250 0.250  -0.07
C: 0.750 0.750 0.750  -0.07
Fe: 0.000 0.000 0.000  1.32
Ta: 0.500 0.500 0.500  0.09

Symmetry: Fm-3m
Formation energy, eV/atom: 0.700
Total magnetic moment, μB per formula unit: 1.19

No. 11
The following is a PBE calculation of Ta2FeC after structural relaxation, from Alexandria.

Lattice parameters (Å, degrees): 6.219 6.219 5.263 53.78 53.78 90.00
Each line ends with the local moment (μB).
Fractional coordinates of all 8 atoms:
C: 0.500 0.500 0.000  0.02
C: 0.250 0.750 0.500  0.02
Fe: 0.000 0.000 0.000  1.24
Fe: 0.750 0.250 0.500  1.25
Ta: 0.580 0.125 0.250  -0.08
Ta: 0.170 0.625 0.250  -0.08
Ta: 0.375 0.420 0.750  -0.11
Ta: 0.875 0.830 0.750  -0.10

Symmetry: I-42d
Formation energy, eV/atom: 0.366
Total magnetic moment, μB per formula unit: 1.04

No. 12
The following is a PBE calculation of Ta4FeC2 after structural relaxation, from Alexandria.

Lattice parameters (Å, degrees): 3.150 5.550 11.184 90.00 90.00 106.48
Each line ends with the local moment (μB).
Fractional coordinates of all 14 atoms:
C: 0.136 0.271 0.438  0.00
C: 0.864 0.729 0.938  0.00
C: 0.136 0.271 0.062  0.00
C: 0.864 0.729 0.562  0.00
Fe: 0.607 0.214 0.750  0.49
Fe: 0.393 0.786 0.250  0.49
Ta: 0.770 0.541 0.111  -0.01
Ta: 0.770 0.541 0.389  -0.01
Ta: 0.230 0.459 0.889  -0.01
Ta: 0.230 0.459 0.611  -0.01
Ta: 0.929 0.858 0.750  -0.03
Ta: 0.071 0.142 0.250  -0.03
Ta: 0.500 0.000 0.000  0.01
Ta: 0.500 0.000 0.500  0.01

Symmetry: Cmcm
Formation energy, eV/atom: -0.474
Total magnetic moment, μB per formula unit: 0.45

No. 13
The following is a PBE calculation of TaFeC2 after structural relaxation, from Alexandria.

Lattice parameters (Å, degrees): 4.462 4.462 5.688 66.91 66.91 90.00
Fractional coordinates of all 8 atoms:
C: 0.581 0.125 0.250
C: 0.169 0.625 0.250
C: 0.375 0.419 0.750
C: 0.875 0.831 0.750
Fe: 0.500 0.500 0.000
Fe: 0.250 0.750 0.500
Ta: 0.000 0.000 0.000
Ta: 0.750 0.250 0.500

Symmetry: I-42d
Formation energy, eV/atom: 0.361
Total magnetic moment, μB per formula unit: 0.00

No. 14
The following is a PBE calculation of TaFe2C after structural relaxation, from Alexandria.

Lattice parameters (Å, degrees): 6.317 6.317 5.028 51.09 51.09 90.00
Fractional coordinates of all 8 atoms:
C: 0.500 0.500 0.000
C: 0.250 0.750 0.500
Fe: 0.510 0.125 0.250
Fe: 0.240 0.625 0.250
Fe: 0.375 0.490 0.750
Fe: 0.875 0.760 0.750
Ta: 0.000 0.000 0.000
Ta: 0.750 0.250 0.500

Symmetry: I-42d
Formation energy, eV/atom: 0.120
Total magnetic moment, μB per formula unit: 0.00

No. 15
The following is a PBE calculation of Ta3FeC after structural relaxation, from Alexandria.

Lattice parameters (Å, degrees): 4.524 4.524 4.524 90.00 90.00 90.00
Fractional coordinates of all 5 atoms:
C: 0.500 0.500 0.500
Fe: 0.000 0.000 0.000
Ta: 0.000 0.500 0.000
Ta: 0.000 0.000 0.500
Ta: 0.500 0.000 0.000

Symmetry: Pm-3m
Formation energy, eV/atom: 1.850
Total magnetic moment, μB per formula unit: 0.00
Polymorph energy (0 for the lowest one), meV per atom: 1802.4

No. 16
The following is a PBE calculation of Ta2Fe4C after structural relaxation, from Alexandria.

Lattice parameters (Å, degrees): 3.643 3.643 7.194 75.33 75.33 90.00
Each line ends with the local moment (μB).
Fractional coordinates of all 7 atoms:
C: 0.000 0.000 0.000  -0.06
Fe: 0.860 0.860 0.279  0.68
Fe: 0.140 0.140 0.721  0.68
Fe: 0.000 0.500 0.000  1.17
Fe: 0.500 0.000 0.000  1.17
Ta: 0.677 0.677 0.646  -0.18
Ta: 0.323 0.323 0.354  -0.18

Symmetry: I4/mmm
Formation energy, eV/atom: 0.076
Total magnetic moment, μB per formula unit: 3.17

No. 17
The following is a PBE calculation of Ta3FeC after structural relaxation, from Alexandria.

Lattice parameters (Å, degrees): 4.227 4.227 4.227 90.00 90.00 90.00
Fractional coordinates of all 5 atoms:
C: 0.000 0.000 0.000
Fe: 0.500 0.500 0.500
Ta: 0.000 0.500 0.000
Ta: 0.000 0.000 0.500
Ta: 0.500 0.000 0.000

Symmetry: Pm-3m
Formation energy, eV/atom: 0.047
Total magnetic moment, μB per formula unit: 0.00
Polymorph energy (0 for the lowest one), meV per atom: 0.0

No. 18
The following is a PBE calculation of TaFeTc2C after structural relaxation, from Alexandria.

Lattice parameters (Å, degrees): 4.100 4.100 3.799 90.00 90.00 90.00
Each line ends with the local moment (μB).
Fractional coordinates of all 5 atoms:
Fe: 0.000 0.000 0.500  0.16
C: 0.000 0.000 0.000  0.00
Tc: 0.000 0.500 0.000  -0.01
Tc: 0.500 0.000 0.000  -0.01
Ta: 0.500 0.500 0.500  -0.01

Symmetry: P4/mmm
Formation energy, eV/atom: -0.145
Total magnetic moment, μB per formula unit: 0.13
Polymorph energy (0 for the lowest one), meV per atom: 0.0

No. 19
The following is a PBE calculation of TaFe2TcC after structural relaxation, from Alexandria.

Lattice parameters (Å, degrees): 3.817 3.817 4.060 90.00 90.00 90.00
Fractional coordinates of all 5 atoms:
Fe: 0.000 0.500 0.000
Fe: 0.500 0.000 0.000
C: 0.000 0.000 0.000
Tc: 0.000 0.000 0.500
Ta: 0.500 0.500 0.500

Symmetry: P4/mmm
Formation energy, eV/atom: -0.125
Total magnetic moment, μB per formula unit: 0.00

No. 20
The following is a PBE calculation of TaFeTc2C after structural relaxation, from Alexandria.

Lattice parameters (Å, degrees): 4.589 3.491 4.589 90.00 90.00 90.00
Fractional coordinates of all 5 atoms:
Fe: 0.000 0.000 0.000
C: 0.000 0.500 0.000
Tc: 0.000 0.000 0.500
Tc: 0.500 0.000 0.000
Ta: 0.500 0.500 0.500

Symmetry: P4/mmm
Formation energy, eV/atom: 1.195
Total magnetic moment, μB per formula unit: 0.00
Polymorph energy (0 for the lowest one), meV per atom: 1340.0

No. 21
The following is a PBE calculation of ThTaFeC3 after structural relaxation, from Alexandria.

Lattice parameters (Å, degrees): 3.309 7.082 7.392 105.25 90.00 90.00
Each line ends with the local moment (μB).
Fractional coordinates of all 12 atoms:
Th: 0.750 0.808 0.790  0.01
Th: 0.250 0.192 0.210  0.01
Ta: 0.250 0.654 0.146  0.01
Ta: 0.750 0.346 0.854  0.01
Fe: 0.250 0.093 0.604  0.07
Fe: 0.750 0.907 0.396  0.07
C: 0.250 0.823 0.468  0.00
C: 0.750 0.876 0.139  0.00
C: 0.750 0.442 0.157  0.00
C: 0.750 0.177 0.532  0.00
C: 0.250 0.558 0.843  0.00
C: 0.250 0.124 0.861  0.00

Symmetry: P2_1/m
Formation energy, eV/atom: -0.138
Total magnetic moment, μB per formula unit: 0.09

No. 22
The following is a PBE calculation of UTa2FeC4 after structural relaxation, from Alexandria.

Lattice parameters (Å, degrees): 3.186 5.675 10.708 90.00 90.00 106.30
Each line ends with the local moment (μB).
Fractional coordinates of all 16 atoms:
U: 0.103 0.207 0.750  0.06
U: 0.897 0.793 0.250  0.06
Ta: 0.370 0.739 0.548  0.00
Ta: 0.630 0.261 0.048  0.00
Ta: 0.630 0.261 0.452  0.00
Ta: 0.370 0.739 0.952  0.00
Fe: 0.844 0.689 0.750  0.00
Fe: 0.156 0.311 0.250  0.00
C: 0.271 0.541 0.123  0.00
C: 0.729 0.459 0.623  0.00
C: 0.729 0.459 0.877  0.00
C: 0.271 0.541 0.377  0.00
C: 0.000 0.000 0.500  0.00
C: 0.000 0.000 0.000  0.00
C: 0.440 0.879 0.750  0.00
C: 0.560 0.121 0.250  0.00

Symmetry: Cmcm
Formation energy, eV/atom: -0.348
Total magnetic moment, μB per formula unit: 0.05

No. 23
The following is a PBE calculation of YTa2FeC4 after structural relaxation, from Alexandria.

Lattice parameters (Å, degrees): 3.211 5.725 10.848 90.00 90.00 106.29
Fractional coordinates of all 16 atoms:
Y: 0.102 0.204 0.750
Y: 0.898 0.796 0.250
Ta: 0.369 0.739 0.543
Ta: 0.631 0.261 0.043
Ta: 0.631 0.261 0.457
Ta: 0.369 0.739 0.957
Fe: 0.836 0.672 0.750
Fe: 0.164 0.328 0.250
C: 0.265 0.531 0.117
C: 0.735 0.469 0.617
C: 0.735 0.469 0.883
C: 0.265 0.531 0.383
C: 0.000 0.000 0.500
C: 0.000 0.000 0.000
C: 0.423 0.846 0.750
C: 0.577 0.154 0.250

Symmetry: Cmcm
Formation energy, eV/atom: -0.320
Total magnetic moment, μB per formula unit: 0.00

No. 24
The following is a PBE calculation of YTa2FeC after structural relaxation, from Alexandria.

Lattice parameters (Å, degrees): 4.866 3.674 4.866 90.00 90.00 90.00
Fractional coordinates of all 5 atoms:
Y: 0.500 0.500 0.500
C: 0.000 0.500 0.000
Fe: 0.000 0.000 0.000
Ta: 0.000 0.000 0.500
Ta: 0.500 0.000 0.000

Symmetry: P4/mmm
Formation energy, eV/atom: 0.998
Total magnetic moment, μB per formula unit: 0.00

No. 25
The following is a PBE calculation of TbFeC after structural relaxation, from Alexandria.

Lattice parameters (Å, degrees): 4.087 3.409 3.409 120.00 90.00 90.00
Each line ends with the local moment (μB).
Fractional coordinates of all 3 atoms:
C: 0.166 0.000 0.000  0.00
Tb: 0.667 0.667 0.333  0.00
Fe: 0.167 0.333 0.667  0.08

Symmetry: P-6m2
Formation energy, eV/atom: -0.011
Total magnetic moment, μB per formula unit: 0.08
Polymorph energy (0 for the lowest one), meV per atom: 151.8